w.
# PBE Nd8Dy3, relaxed
data_Nd8Dy3
_symmetry_space_group_name_H-M 'P 1'
_symmetry_Int_Tables_number 1
_symmetry_space_group_name_Hall 'P 1'
_cell_length_a 7.3206
_cell_length_b 7.3206
_cell_length_c 7.3206
_cell_angle_alpha 84.47
_cell_angle_beta 84.47
_cell_angle_gamma 84.47
loop_
_atom_site_label
_atom_site_fract_x
_atom_site_fract_y
_atom_site_fract_z
Nd1 0.1132 0.1132 0.1132
Nd2 0.1926 0.3500 0.6149
Nd3 0.3500 0.6149 0.1926
Nd4 0.3851 0.8074 0.6500
Nd5 0.6149 0.1926 0.3500
Nd6 0.6500 0.3851 0.8074
Nd7 0.8074 0.6500 0.3851
Nd8 0.8868 0.8868 0.8868
Dy1 0.0000 0.0000 0.5000
Dy2 0.0000 0.5000 0.0000
Dy3 0.5000 0.0000 0.0000
# * space group: No. 148


x.
# PBE Nd8Dy3, relaxed
data_Nd8Dy3
_symmetry_space_group_name_H-M 'P 1'
_symmetry_Int_Tables_number 1
_symmetry_space_group_name_Hall 'P 1'
_cell_length_a 6.1086
_cell_length_b 6.6492
_cell_length_c 10.7012
_cell_angle_alpha 100.03
_cell_angle_beta 100.79
_cell_angle_gamma 112.81
loop_
_atom_site_label
_atom_site_fract_x
_atom_site_fract_y
_atom_site_fract_z
Nd1 0.0424 0.1223 0.1779
Nd2 0.2686 0.5566 0.4673
Nd3 0.3442 0.4643 0.8023
Nd4 0.4309 0.9229 0.3014
Nd5 0.5691 0.0771 0.6986
Nd6 0.6558 0.5357 0.1977
Nd7 0.7314 0.4434 0.5327
Nd8 0.9576 0.8777 0.8221
Dy1 0.0000 0.0000 0.5000
Dy2 0.0000 0.5000 0.0000
Dy3 0.5000 0.0000 0.0000
# * space group: No. 2


Least stable structure: w


w.
# PBE NdDy2, relaxed
data_NdDy2
_symmetry_space_group_name_H-M 'P 1'
_symmetry_Int_Tables_number 1
_symmetry_space_group_name_Hall 'P 1'
_cell_length_a 17.5445
_cell_length_b 17.5445
_cell_length_c 17.5445
_cell_angle_alpha 11.79
_cell_angle_beta 11.79
_cell_angle_gamma 11.79
loop_
_atom_site_label
_atom_site_fract_x
_atom_site_fract_y
_atom_site_fract_z
Nd1 0.0836 0.0836 0.0836
Nd2 0.9164 0.9164 0.9164
Dy1 0.1937 0.1937 0.1937
Dy2 0.3607 0.3607 0.3607
Dy3 0.6393 0.6393 0.6393
Dy4 0.8063 0.8063 0.8063
# * space group: No. 166


x.
# PBE NdDy2, relaxed
data_NdDy2
_symmetry_space_group_name_H-M 'P 1'
_symmetry_Int_Tables_number 1
_symmetry_space_group_name_Hall 'P 1'
_cell_length_a 8.0209
_cell_length_b 8.0209
_cell_length_c 8.0209
_cell_angle_alpha 154.14
_cell_angle_beta 154.14
_cell_angle_gamma 36.90
loop_
_atom_site_label
_atom_site_fract_x
_atom_site_fract_y
_atom_site_fract_z
Nd1 0.0000 0.0000 0.0000
Dy1 0.3316 0.3316 0.0000
Dy2 0.6684 0.6684 0.0000
# * space group: No. 139


y.
# PBE NdDy2, relaxed
data_NdDy2
_symmetry_space_group_name_H-M 'P 1'
_symmetry_Int_Tables_number 1
_symmetry_space_group_name_Hall 'P 1'
_cell_length_a 6.6403
_cell_length_b 6.6403
_cell_length_c 6.6403
_cell_angle_alpha 60.00
_cell_angle_beta 60.00
_cell_angle_gamma 60.00
loop_
_atom_site_label
_atom_site_fract_x
_atom_site_fract_y
_atom_site_fract_z
Nd1 0.1250 0.1250 0.1250
Nd2 0.8750 0.8750 0.8750
Dy1 0.0000 0.5000 0.5000
Dy2 0.5000 0.0000 0.5000
Dy3 0.5000 0.5000 0.0000
Dy4 0.5000 0.5000 0.5000
# * space group: No. 227


Least stable structure: y


w.
# PBE Nd3Dy8, relaxed
data_Nd3Dy8
_symmetry_space_group_name_H-M 'P 1'
_symmetry_Int_Tables_number 1
_symmetry_space_group_name_Hall 'P 1'
_cell_length_a 7.1411
_cell_length_b 7.1411
_cell_length_c 7.1411
_cell_angle_alpha 87.74
_cell_angle_beta 87.74
_cell_angle_gamma 87.74
loop_
_atom_site_label
_atom_site_fract_x
_atom_site_fract_y
_atom_site_fract_z
Nd1 0.0000 0.5000 0.5000
Nd2 0.5000 0.0000 0.5000
Nd3 0.5000 0.5000 0.0000
Dy1 0.1033 0.8650 0.6968
Dy2 0.1350 0.3032 0.8967
Dy3 0.3032 0.8967 0.1350
Dy4 0.3685 0.3685 0.3685
Dy5 0.6315 0.6315 0.6315
Dy6 0.6968 0.1033 0.8650
Dy7 0.8650 0.6968 0.1033
Dy8 0.8967 0.1350 0.3032
# * space group: No. 148


x.
# PBE Nd3Dy8, relaxed
data_Nd3Dy8
_symmetry_space_group_name_H-M 'P 1'
_symmetry_Int_Tables_number 1
_symmetry_space_group_name_Hall 'P 1'
_cell_length_a 32.0954
_cell_length_b 32.0954
_cell_length_c 32.0954
_cell_angle_alpha 6.40
_cell_angle_beta 6.40
_cell_angle_gamma 6.40
loop_
_atom_site_label
_atom_site_fract_x
_atom_site_fract_y
_atom_site_fract_z
Nd1 0.0000 0.0000 0.0000
Nd2 0.2721 0.2721 0.2721
Nd3 0.7279 0.7279 0.7279
Dy1 0.0920 0.0920 0.0920
Dy2 0.1816 0.1816 0.1816
Dy3 0.3640 0.3640 0.3640
Dy4 0.4552 0.4552 0.4552
Dy5 0.5448 0.5448 0.5448
Dy6 0.6360 0.6360 0.6360
Dy7 0.8184 0.8184 0.8184
Dy8 0.9080 0.9080 0.9080
# * space group: No. 166


Least stable structure: w